First-principles (PBE-GGA) data for a geometry-optimized Li6CdPb12 structure, as listed in the Alexandria database.

Unit cell a=8.3272 b=8.3272 c=8.3272 alpha=100.44 beta=100.44 gamma=100.44
Positions (direct):
Li 0.0332 0.3267 0.2329
Li 0.2329 0.0332 0.3267
Li 0.3267 0.2329 0.0332
Li 0.6733 0.7671 0.9668
Li 0.7671 0.9668 0.6733
Li 0.9668 0.6733 0.7671
Cd 0.5000 0.5000 0.5000
Pb 0.0200 0.6771 0.1310
Pb 0.1310 0.0200 0.6771
Pb 0.1714 0.6447 0.5069
Pb 0.3229 0.8690 0.9800
Pb 0.3553 0.4931 0.8286
Pb 0.4931 0.8286 0.3553
Pb 0.5069 0.1714 0.6447
Pb 0.6447 0.5069 0.1714
Pb 0.6771 0.1310 0.0200
Pb 0.8286 0.3553 0.4931
Pb 0.8690 0.9800 0.3229
Pb 0.9800 0.3229 0.8690

Results
The space group is R-3. As for the uncorrected energy: -0.2211 Ry/atom.

---

First-principles (PBE-GGA) data for a geometry-optimized Li12Cd6Pb structure, as listed in the Alexandria database.

Unit cell a=7.2612 b=7.2612 c=7.2612 alpha=91.65 beta=91.65 gamma=91.65
Positions (direct):
Li 0.0306 0.9337 0.2976
Li 0.0663 0.7024 0.9694
Li 0.1283 0.4676 0.3463
Li 0.2976 0.0306 0.9337
Li 0.3463 0.1283 0.4676
Li 0.4676 0.3463 0.1283
Li 0.5324 0.6537 0.8717
Li 0.6537 0.8717 0.5324
Li 0.7024 0.9694 0.0663
Li 0.8717 0.5324 0.6537
Li 0.9337 0.2976 0.0306
Li 0.9694 0.0663 0.7024
Cd 0.2076 0.7844 0.6170
Cd 0.2156 0.3830 0.7924
Cd 0.3830 0.7924 0.2156
Cd 0.6170 0.2076 0.7844
Cd 0.7844 0.6170 0.2076
Cd 0.7924 0.2156 0.3830
Pb 0.5000 0.5000 0.5000

Results
The energy above the most stable polymorph in this dataset is 0 meV/atom. The space group is R-3. As for the uncorrected energy: -0.1371 Ry/atom.

---

First-principles (PBE-GGA) data for a geometry-optimized Li6CdPb structure, as listed in the Alexandria database.

Unit cell a=8.1410 b=8.1410 c=8.1410 alpha=33.69 beta=33.69 gamma=33.69
Positions (direct):
Li 0.1246 0.1246 0.1246
Li 0.2454 0.2454 0.2454
Li 0.3745 0.3745 0.3745
Li 0.6255 0.6255 0.6255
Li 0.7546 0.7546 0.7546
Li 0.8754 0.8754 0.8754
Cd 0.0000 0.0000 0.0000
Pb 0.5000 0.5000 0.5000

Results
The energy above the most stable polymorph in this dataset is 0 meV/atom. The space group is R-3m. As for the uncorrected energy: -0.1666 Ry/atom.

---

First-principles (PBE-GGA) data for a geometry-optimized Li6Cd8Pb structure, as listed in the Alexandria database.

Unit cell a=7.4783 b=7.4783 c=7.4783 alpha=63.65 beta=63.65 gamma=63.65
Positions (direct):
Li 0.0998 0.6469 0.3742
Li 0.3531 0.6258 0.9002
Li 0.3742 0.0998 0.6469
Li 0.6258 0.9002 0.3531
Li 0.6469 0.3742 0.0998
Li 0.9002 0.3531 0.6258
Cd 0.1415 0.4218 0.8184
Cd 0.1816 0.8585 0.5782
Cd 0.2569 0.2569 0.2569
Cd 0.4218 0.8184 0.1415
Cd 0.5782 0.1816 0.8585
Cd 0.7431 0.7431 0.7431
Cd 0.8184 0.1415 0.4218
Cd 0.8585 0.5782 0.1816
Pb 0.0000 0.0000 0.0000

Results
The space group is R-3. As for the uncorrected energy: -0.1207 Ry/atom.

---

First-principles (PBE-GGA) data for a geometry-optimized Li3Cd3Pb structure, as listed in the Alexandria database.

Unit cell a=7.2158 b=7.2158 c=7.2158 alpha=90.00 beta=90.00 gamma=90.00
Positions (direct):
Li 0.0000 0.2500 0.5000
Li 0.0000 0.7500 0.5000
Li 0.2500 0.5000 0.0000
Li 0.5000 0.0000 0.2500
Li 0.5000 0.0000 0.7500
Li 0.7500 0.5000 0.0000
Cd 0.0000 0.5000 0.2500
Cd 0.0000 0.5000 0.7500
Cd 0.2500 0.0000 0.5000
Cd 0.5000 0.2500 0.0000
Cd 0.5000 0.7500 0.0000
Cd 0.7500 0.0000 0.5000
Pb 0.0000 0.0000 0.0000
Pb 0.5000 0.5000 0.5000

Results
The energy above the most stable polymorph in this dataset is 354 meV/atom. The space group is Pm-3n. As for the uncorrected energy: -0.1098 Ry/atom.

---

First-principles (PBE-GGA) data for a geometry-optimized LiCdPb6 structure, as listed in the Alexandria database.

Unit cell a=7.0736 b=7.0736 c=6.4059 alpha=107.59 beta=107.59 gamma=115.60
Positions (direct):
Li 0.0000 0.0000 0.0000
Cd 0.5000 0.5000 0.5000
Pb 0.0243 0.4655 0.2496
Pb 0.2475 0.2475 0.7491
Pb 0.4655 0.0243 0.2496
Pb 0.5345 0.9757 0.7504
Pb 0.7525 0.7525 0.2509
Pb 0.9757 0.5345 0.7504

Results
The energy above the most stable polymorph in this dataset is 97 meV/atom. The space group is C2/m. As for the uncorrected energy: -0.2259 Ry/atom.

---

First-principles (PBE-GGA) data for a geometry-optimized Li7CdPb4 structure, as listed in the Alexandria database.

Unit cell a=7.2607 b=7.2607 c=10.2472 alpha=124.72 beta=124.72 gamma=40.91
Positions (direct):
Li 0.0000 0.0000 0.0000
Li 0.1381 0.1381 0.5768
Li 0.2846 0.2846 0.1402
Li 0.4423 0.4423 0.6762
Li 0.5577 0.5577 0.3238
Li 0.7154 0.7154 0.8598
Li 0.8619 0.8619 0.4232
Cd 0.5000 0.5000 0.0000
Pb 0.0761 0.0761 0.7960
Pb 0.2045 0.2045 0.3530
Pb 0.7955 0.7955 0.6470
Pb 0.9239 0.9239 0.2040

Results
The space group is C2/m. As for the uncorrected energy: -0.1906 Ry/atom.

---

First-principles (PBE-GGA) data for a geometry-optimized Li5Cd6Pb structure, as listed in the Alexandria database.

Unit cell a=7.9553 b=7.9553 c=7.9553 alpha=146.54 beta=117.51 gamma=72.77
Positions (direct):
Li 0.0000 0.0000 0.0000
Li 0.1799 0.6799 0.5000
Li 0.3508 0.3508 0.0000
Li 0.6492 0.6492 0.0000
Li 0.8201 0.3201 0.5000
Cd 0.0477 0.8266 0.2211
Cd 0.2101 0.5000 0.7101
Cd 0.3945 0.1734 0.2211
Cd 0.6055 0.8266 0.7789
Cd 0.7899 0.5000 0.2899
Cd 0.9523 0.1734 0.7789
Pb 0.5000 0.0000 0.5000

Results
The space group is Immm. As for the uncorrected energy: -0.1297 Ry/atom.

---

First-principles (PBE-GGA) data for a geometry-optimized Li8Cd3Pb4 structure, as listed in the Alexandria database.

Unit cell a=6.7806 b=6.7806 c=6.7806 alpha=90.00 beta=90.00 gamma=90.00
Positions (direct):
Li 0.2310 0.2310 0.2310
Li 0.2310 0.2310 0.7690
Li 0.2310 0.7690 0.2310
Li 0.2310 0.7690 0.7690
Li 0.7690 0.2310 0.2310
Li 0.7690 0.2310 0.7690
Li 0.7690 0.7690 0.2310
Li 0.7690 0.7690 0.7690
Cd 0.0000 0.5000 0.5000
Cd 0.5000 0.0000 0.5000
Cd 0.5000 0.5000 0.0000
Pb 0.0000 0.0000 0.5000
Pb 0.0000 0.5000 0.0000
Pb 0.5000 0.0000 0.0000
Pb 0.5000 0.5000 0.5000

Results
The space group is Pm-3m. As for the uncorrected energy: -0.1799 Ry/atom.

---

First-principles (PBE-GGA) data for a geometry-optimized Li8Cd6Pb structure, as listed in the Alexandria database.

Unit cell a=7.4591 b=7.4591 c=7.4591 alpha=61.87 beta=61.87 gamma=61.87
Positions (direct):
Li 0.1314 0.6118 0.4002
Li 0.2339 0.2339 0.2339
Li 0.3882 0.5998 0.8686
Li 0.4002 0.1314 0.6118
Li 0.5998 0.8686 0.3882
Li 0.6118 0.4002 0.1314
Li 0.7661 0.7661 0.7661
Li 0.8686 0.3882 0.5998
Cd 0.0674 0.3518 0.8809
Cd 0.1191 0.9326 0.6482
Cd 0.3518 0.8809 0.0674
Cd 0.6482 0.1191 0.9326
Cd 0.8809 0.0674 0.3518
Cd 0.9326 0.6482 0.1191
Pb 0.5000 0.5000 0.5000

Results
The space group is R-3. As for the uncorrected energy: -0.1300 Ry/atom.

---

First-principles (PBE-GGA) data for a geometry-optimized Li5Cd2Pb2 structure, as listed in the Alexandria database.

Unit cell a=7.9199 b=7.9199 c=7.2956 alpha=90.00 beta=90.00 gamma=57.18
Positions (direct):
Li 0.0000 0.0000 0.0000
Li 0.0444 0.6906 0.6795
Li 0.1906 0.5444 0.1795
Li 0.3094 0.9556 0.6795
Li 0.4556 0.8094 0.1795
Li 0.5000 0.5000 0.5000
Li 0.5444 0.1906 0.8205
Li 0.6906 0.0444 0.3205
Li 0.8094 0.4556 0.8205
Li 0.9556 0.3094 0.3205
Cd 0.1378 0.8622 0.3686
Cd 0.3622 0.6378 0.8686
Cd 0.6378 0.3622 0.1314
Cd 0.8622 0.1378 0.6314
Pb 0.2169 0.2169 0.0000
Pb 0.2831 0.2831 0.5000
Pb 0.7169 0.7169 0.5000
Pb 0.7831 0.7831 0.0000

Results
The energy above the most stable polymorph in this dataset is 102 meV/atom. The space group is Cmce. As for the uncorrected energy: -0.1652 Ry/atom.

---

First-principles (PBE-GGA) data for a geometry-optimized Li3CdPb structure, as listed in the Alexandria database.

Unit cell a=4.8677 b=5.4355 c=7.8647 alpha=90.00 beta=107.67 gamma=90.00
Positions (direct):
Li 0.0000 0.0000 0.0000
Li 0.0000 0.5000 0.0000
Li 0.2442 0.2500 0.4811
Li 0.4400 0.2500 0.8786
Li 0.5600 0.7500 0.1214
Li 0.7558 0.7500 0.5189
Cd 0.1610 0.7500 0.3256
Cd 0.8390 0.2500 0.6744
Pb 0.3682 0.7500 0.7449
Pb 0.6318 0.2500 0.2551

Results
The energy above the most stable polymorph in this dataset is 19 meV/atom. The space group is P2_1/m. As for the uncorrected energy: -0.1686 Ry/atom.